Entry 1:
Below is a geometry-optimized CaTb3Ni structure, with properties calculated at the PBE-GGA level.

Values from the calculation:
The value obtained for the formation energy from the elements is -47 meV/atom. The total magnetization is 0.39 μB per formula unit.

```
data_CaTb3Ni
_cell_length_a 5.397
_cell_length_b 5.397
_cell_length_c 5.397
_cell_angle_alpha 90.00
_cell_angle_beta 90.00
_cell_angle_gamma 90.00
_space_group_name_H-M_alt 'P m -3 m'
_space_group_IT_number 221
_space_group_name_Hall '-P 4 2 3'
loop_
_atom_site_label
_atom_site_type_symbol
_atom_site_fract_x
_atom_site_fract_y
_atom_site_fract_z
Ca1 Ca 0.000 0.000 0.000
Tb1 Tb 0.000 0.500 0.500
Ni1 Ni 0.500 0.500 0.500
```

Entry 2:
Below is a geometry-optimized Ca3TbNi8 structure, with properties calculated at the PBE-GGA level.

Values from the calculation:
The value obtained for the formation energy from the elements is -250 meV/atom. The total magnetization is 0.00 μB per formula unit.

```
data_Ca3TbNi8
_cell_length_a 5.0879
_cell_length_b 5.0879
_cell_length_c 24.8742
_cell_angle_alpha 90.00
_cell_angle_beta 90.00
_cell_angle_gamma 120.00
_space_group_name_H-M_alt 'R 3 m'
_space_group_IT_number 160
_space_group_name_Hall 'R 3 -2"'
loop_
_atom_site_label
_atom_site_type_symbol
_atom_site_fract_x
_atom_site_fract_y
_atom_site_fract_z
Ca1 Ca 0.0000 0.0000 0.0000
Ca2 Ca 0.0000 0.0000 0.1237
Ca3 Ca 0.0000 0.0000 0.6281
Tb1 Tb 0.0000 0.0000 0.5017
Ni1 Ni 0.0000 0.0000 0.3135
Ni2 Ni 0.0000 0.0000 0.8135
Ni3 Ni 0.0030 0.5015 0.0647
Ni4 Ni 0.1680 0.3361 0.8955
```

Entry 3:
Below is a geometry-optimized CaTbNi structure, with properties calculated at the PBE-GGA level.

Values from the calculation:
The value obtained for the formation energy from the elements is -271 meV/atom. The total magnetization is 0.00 μB per formula unit.

```
data_CaTbNi
_cell_length_a 3.785
_cell_length_b 21.292
_cell_length_c 4.048
_cell_angle_alpha 90.00
_cell_angle_beta 90.00
_cell_angle_gamma 90.00
_space_group_name_H-M_alt 'C m c m'
_space_group_IT_number 63
_space_group_name_Hall '-C 2c 2'
loop_
_atom_site_label
_atom_site_type_symbol
_atom_site_fract_x
_atom_site_fract_y
_atom_site_fract_z
Ca1 Ca 0.000 0.185 0.250
Tb1 Tb 0.000 0.432 0.250
Ni1 Ni 0.000 0.036 0.250
```

Entry 4:
Below is a geometry-optimized CaTbTlNi structure, with properties calculated at the PBE-GGA level.

Values from the calculation:
The value obtained for the formation energy from the elements is -186 meV/atom. The total magnetization is 0.00 μB per formula unit.

```
data_CaTbTlNi
_cell_length_a 7.285
_cell_length_b 7.285
_cell_length_c 7.285
_cell_angle_alpha 90.00
_cell_angle_beta 90.00
_cell_angle_gamma 90.00
_space_group_name_H-M_alt 'F -4 3 m'
_space_group_IT_number 216
_space_group_name_Hall 'F -4 2 3'
loop_
_atom_site_label
_atom_site_type_symbol
_atom_site_fract_x
_atom_site_fract_y
_atom_site_fract_z
Ca1 Ca 0.000 0.000 0.000
Tb1 Tb 0.000 0.000 0.500
Tl1 Tl 0.250 0.250 0.750
Ni1 Ni 0.250 0.250 0.250
```

Entry 5:
Below is a geometry-optimized CaTcNi2 structure, with properties calculated at the PBE-GGA level.

Values from the calculation:
The value obtained for the formation energy from the elements is 392 meV/atom. The total magnetization is 2.98 μB per formula unit.

```
data_CaTcNi2
_cell_length_a 6.308
_cell_length_b 6.308
_cell_length_c 6.308
_cell_angle_alpha 90.00
_cell_angle_beta 90.00
_cell_angle_gamma 90.00
_space_group_name_H-M_alt 'F m -3 m'
_space_group_IT_number 225
_space_group_name_Hall '-F 4 2 3'
loop_
_atom_site_label
_atom_site_type_symbol
_atom_site_fract_x
_atom_site_fract_y
_atom_site_fract_z
Ca1 Ca 0.000 0.000 0.000
Tc1 Tc 0.000 0.000 0.500
Ni1 Ni 0.250 0.250 0.250
```

Entry 6:
Below is a geometry-optimized CaTc2Ni structure, with properties calculated at the PBE-GGA level.

Values from the calculation:
The value obtained for the formation energy from the elements is 473 meV/atom. The total magnetization is 0.00 μB per formula unit.

```
data_CaTc2Ni
_cell_length_a 2.8556
_cell_length_b 2.8556
_cell_length_c 27.2594
_cell_angle_alpha 90.00
_cell_angle_beta 90.00
_cell_angle_gamma 120.00
_space_group_name_H-M_alt 'R 3 m'
_space_group_IT_number 160
_space_group_name_Hall 'R 3 -2"'
loop_
_atom_site_label
_atom_site_type_symbol
_atom_site_fract_x
_atom_site_fract_y
_atom_site_fract_z
Ca1 Ca 0.0000 0.0000 0.0000
Tc1 Tc 0.0000 0.0000 0.5051
Tc2 Tc 0.0000 0.0000 0.7636
Ni1 Ni 0.0000 0.0000 0.2479
```

Entry 7:
Below is a geometry-optimized Ca2TcNi structure, with properties calculated at the PBE-GGA level.

Values from the calculation:
The value obtained for the formation energy from the elements is 303 meV/atom. The total magnetization is 0.00 μB per formula unit.

```
data_Ca2TcNi
_cell_length_a 4.379
_cell_length_b 5.010
_cell_length_c 8.474
_cell_angle_alpha 90.00
_cell_angle_beta 90.00
_cell_angle_gamma 90.00
_space_group_name_H-M_alt 'C m m 2'
_space_group_IT_number 35
_space_group_name_Hall 'C 2 -2'
loop_
_atom_site_label
_atom_site_type_symbol
_atom_site_fract_x
_atom_site_fract_y
_atom_site_fract_z
Ca1 Ca 0.000 0.000 0.000
Ca2 Ca 0.000 0.500 0.404
Tc1 Tc 0.000 0.500 0.749
Ni1 Ni 0.000 0.000 0.644
```

Entry 8:
Below is a geometry-optimized CaTc2Ni2 structure, with properties calculated at the PBE-GGA level.

Values from the calculation:
The value obtained for the formation energy from the elements is 294 meV/atom. The total magnetization is 0.00 μB per formula unit.

```
data_CaTc2Ni2
_cell_length_a 4.194
_cell_length_b 4.194
_cell_length_c 9.748
_cell_angle_alpha 90.00
_cell_angle_beta 90.00
_cell_angle_gamma 90.00
_space_group_name_H-M_alt 'I 4/m m m'
_space_group_IT_number 139
_space_group_name_Hall '-I 4 2'
loop_
_atom_site_label
_atom_site_type_symbol
_atom_site_fract_x
_atom_site_fract_y
_atom_site_fract_z
Ca1 Ca 0.000 0.000 0.000
Tc1 Tc 0.000 0.000 0.384
Ni1 Ni 0.000 0.500 0.250
```

Entry 9:
Below is a geometry-optimized CaTc2Ni structure, with properties calculated at the PBE-GGA level.

Values from the calculation:
The value obtained for the formation energy from the elements is 498 meV/atom. The total magnetization is 0.00 μB per formula unit.

```
data_CaTc2Ni
_cell_length_a 3.698
_cell_length_b 3.698
_cell_length_c 4.750
_cell_angle_alpha 90.00
_cell_angle_beta 90.00
_cell_angle_gamma 90.00
_space_group_name_H-M_alt 'P 4/m m m'
_space_group_IT_number 123
_space_group_name_Hall '-P 4 2'
loop_
_atom_site_label
_atom_site_type_symbol
_atom_site_fract_x
_atom_site_fract_y
_atom_site_fract_z
Ca1 Ca 0.000 0.000 0.000
Tc1 Tc 0.000 0.500 0.500
Ni1 Ni 0.500 0.500 0.000
```

Entry 10:
Below is a geometry-optimized CaTc2Ni structure, with properties calculated at the PBE-GGA level.

Values from the calculation:
The value obtained for the formation energy from the elements is 411 meV/atom. The total magnetization is 0.00 μB per formula unit.

```
data_CaTc2Ni
_cell_length_a 2.673
_cell_length_b 2.673
_cell_length_c 8.786
_cell_angle_alpha 90.00
_cell_angle_beta 90.00
_cell_angle_gamma 90.00
_space_group_name_H-M_alt 'P 4/m m m'
_space_group_IT_number 123
_space_group_name_Hall '-P 4 2'
loop_
_atom_site_label
_atom_site_type_symbol
_atom_site_fract_x
_atom_site_fract_y
_atom_site_fract_z
Ca1 Ca 0.000 0.000 0.000
Tc1 Tc 0.500 0.500 0.291
Ni1 Ni 0.000 0.000 0.500
```

Entry 11:
Below is a geometry-optimized Ca2TcNi structure, with properties calculated at the PBE-GGA level.

Values from the calculation:
The value obtained for the formation energy from the elements is 563 meV/atom. The total magnetization is 2.04 μB per formula unit.

```
data_Ca2TcNi
_cell_length_a 4.982
_cell_length_b 4.982
_cell_length_c 3.389
_cell_angle_alpha 90.00
_cell_angle_beta 90.00
_cell_angle_gamma 90.00
_space_group_name_H-M_alt 'P 4/m m m'
_space_group_IT_number 123
_space_group_name_Hall '-P 4 2'
loop_
_atom_site_label
_atom_site_type_symbol
_atom_site_fract_x
_atom_site_fract_y
_atom_site_fract_z
Ca1 Ca 0.000 0.500 0.000
Tc1 Tc 0.000 0.000 0.500
Ni1 Ni 0.500 0.500 0.500
```

Entry 12:
Below is a geometry-optimized CaTcNi2 structure, with properties calculated at the PBE-GGA level.

Values from the calculation:
The value obtained for the formation energy from the elements is 198 meV/atom. The total magnetization is 0.00 μB per formula unit.

```
data_CaTcNi2
_cell_length_a 2.869
_cell_length_b 2.869
_cell_length_c 7.461
_cell_angle_alpha 90.00
_cell_angle_beta 90.00
_cell_angle_gamma 90.00
_space_group_name_H-M_alt 'P 4/m m m'
_space_group_IT_number 123
_space_group_name_Hall '-P 4 2'
loop_
_atom_site_label
_atom_site_type_symbol
_atom_site_fract_x
_atom_site_fract_y
_atom_site_fract_z
Ca1 Ca 0.000 0.000 0.000
Tc1 Tc 0.000 0.000 0.500
Ni1 Ni 0.500 0.500 0.291
```